Record 1
# ZnPO2F (PBE, relaxed)
data_ZnPO2F
_cell_length_a 3.9178
_cell_length_b 3.9178
_cell_length_c 3.8196
_cell_angle_alpha 90.00
_cell_angle_beta 90.00
_cell_angle_gamma 90.00
_symmetry_space_group_name_H-M 'P 4/m m m'
_symmetry_Int_Tables_number 123
_symmetry_space_group_name_Hall '-P 4 2'
loop_
_atom_site_label
_atom_site_type_symbol
_atom_site_fract_x
_atom_site_fract_y
_atom_site_fract_z
Zn1 Zn 0.0000 0.0000 0.0000
P1 P 0.5000 0.5000 0.5000
O1 O 0.0000 0.5000 0.0000
F1 F 0.0000 0.0000 0.5000
# Formation energy (no corrections)   -238 meV/atom

Record 2
# KPtS2O9 (PBE, relaxed)
data_KPtS2O9
_cell_length_a 7.7507
_cell_length_b 7.8138
_cell_length_c 7.8636
_cell_angle_alpha 79.26
_cell_angle_beta 65.41
_cell_angle_gamma 61.49
_symmetry_space_group_name_H-M 'P -1'
_symmetry_Int_Tables_number 2
loop_
_symmetry_equiv_pos_as_xyz
'x,y,z'
'-x,-y,-z'
loop_
_atom_site_label
_atom_site_type_symbol
_atom_site_fract_x
_atom_site_fract_y
_atom_site_fract_z
K1 K 0.2385 0.4923 0.0249
Pt1 Pt 0.3460 0.9942 0.4828
S1 S 0.2662 0.4085 0.5510
S2 S 0.3211 0.9527 0.8903
O1 O 0.0902 0.9752 0.4325
O2 O 0.1183 0.5586 0.6945
O3 O 0.1594 0.2741 0.5742
O4 O 0.1871 0.1541 0.9514
O5 O 0.2543 0.9049 0.7498
O6 O 0.3246 0.8043 0.0318
O7 O 0.3322 0.4680 0.3586
O8 O 0.4427 0.0832 0.2150
O9 O 0.4634 0.2860 0.6066
# Formation energy (no corrections)   -1158 meV/atom

Record 3
# In2P (PBE, relaxed)
data_In2P
_cell_length_a 6.8058
_cell_length_b 6.8058
_cell_length_c 6.8058
_cell_angle_alpha 90.00
_cell_angle_beta 90.00
_cell_angle_gamma 90.00
_symmetry_space_group_name_H-M 'F m -3 m'
_symmetry_Int_Tables_number 225
_symmetry_space_group_name_Hall '-F 4 2 3'
loop_
_atom_site_label
_atom_site_type_symbol
_atom_site_fract_x
_atom_site_fract_y
_atom_site_fract_z
In1 In 0.2500 0.2500 0.2500
P1 P 0.0000 0.0000 0.0000
# Excess energy over the best structure of this formula in the dataset   0.201 eV/atom

Record 4
# NaInSe2 (PBE, relaxed)
data_NaInSe2
_cell_length_a 2.9760
_cell_length_b 23.4339
_cell_length_c 5.6187
_cell_angle_alpha 90.00
_cell_angle_beta 90.00
_cell_angle_gamma 90.00
_symmetry_space_group_name_H-M 'C m c m'
_symmetry_Int_Tables_number 63
_symmetry_space_group_name_Hall '-C 2c 2'
loop_
_atom_site_label
_atom_site_type_symbol
_atom_site_fract_x
_atom_site_fract_y
_atom_site_fract_z
Na1 Na 0.0000 0.1839 0.2500
In1 In 0.0000 0.4326 0.2500
Se1 Se 0.0000 0.3120 0.2500
Se2 Se 0.0000 0.4368 0.7500
# Formation energy (no corrections)   -465 meV/atom

Record 5
# Rb3Na2TiF9 (PBE, relaxed)
data_Rb3Na2TiF9
_cell_length_a 6.2175
_cell_length_b 6.2175
_cell_length_c 7.6968
_cell_angle_alpha 90.00
_cell_angle_beta 90.00
_cell_angle_gamma 120.00
_symmetry_space_group_name_H-M 'P -3 m 1'
_symmetry_Int_Tables_number 164
_symmetry_space_group_name_Hall '-P 3 2"'
loop_
_atom_site_label
_atom_site_type_symbol
_atom_site_fract_x
_atom_site_fract_y
_atom_site_fract_z
Rb1 Rb 0.0000 0.0000 0.0000
Rb2 Rb 0.3333 0.6667 0.7277
Na1 Na 0.3333 0.6667 0.1661
Ti1 Ti 0.0000 0.0000 0.5000
F1 F 0.0000 0.5000 0.0000
F2 F 0.1444 0.2888 0.3584
# Formation energy (no corrections)   -3022 meV/atom

Record 6
# NaUSeO2 (PBE, relaxed)
data_NaUSeO2
_cell_length_a 6.8153
_cell_length_b 4.0020
_cell_length_c 7.8931
_cell_angle_alpha 90.00
_cell_angle_beta 112.27
_cell_angle_gamma 90.00
_symmetry_space_group_name_H-M 'P 1 21/m 1'
_symmetry_Int_Tables_number 11
loop_
_symmetry_equiv_pos_as_xyz
'x,y,z'
'-x,-y,-z'
'-x,y+1/2,-z'
'x,-y+1/2,z'
loop_
_atom_site_label
_atom_site_type_symbol
_atom_site_fract_x
_atom_site_fract_y
_atom_site_fract_z
Na1 Na 0.1767 0.2500 0.4402
U1 U 0.1775 0.2500 0.9281
Se1 Se 0.4617 0.7500 0.1889
O1 O 0.0099 0.7500 0.8958
O2 O 0.0277 0.2500 0.6662
# Formation energy (no corrections)   -2239 meV/atom

Let's list total magnetization in order: 0.001, 0.045, 0.000, 0.000, 0.001, 0.200 μB/atom.